Computed, not measured: a geometry-optimized MgZn2Cr2 structure at the PBE level of DFT.

```
10
Lattice="-0.1951 5.2266 4.8775 1.6346 -4.7174 5.1204 2.8880 0.5206 -0.4423" Properties=species:S:1:pos:R:3 pbc="T T T"
Zn 1.7044 0.9279 2.2651
Mg 0.0000 0.0000 0.0000
Cr 0.0399 2.6619 3.3934
Zn 2.6230 0.1018 7.2905
Cr 1.3995 -2.1528 6.6045
Mg 0.7197 0.2546 4.9990
Zn 1.7845 3.0285 5.2603
Cr 0.6426 -1.4091 2.5370
Cr 0.7969 1.9183 7.4609
Zn 2.5429 -1.9988 4.2953
```

Results
Electronic total energy = -4.36 eV/atom
N(E_F) = 3.9 states/eV/f.u.
Total moment = 0.18 μB/atom

Computed, not measured: a geometry-optimized MgZn2Cr structure at the PBE level of DFT.

```
4
Lattice="3.2091 0.0000 0.0000 0.0000 3.2092 0.0000 0.0000 0.0000 6.3882" Properties=species:S:1:pos:R:3 pbc="T T T"
Mg 1.6046 1.6046 4.8058
Zn 1.6046 1.6046 1.6121
Cr 0.0000 0.0000 3.0135
Zn 0.0000 0.0000 0.1510
```

Results
Electronic total energy = -3.25 eV/atom
N(E_F) = 1.3 states/eV/f.u.
Total moment = 0.92 μB/atom

Computed, not measured: a geometry-optimized MgZn4Cr structure at the PBE level of DFT.

```
6
Lattice="5.0998 0.0000 0.0000 2.5499 4.4165 0.0000 2.5499 1.4722 4.1640" Properties=species:S:1:pos:R:3 pbc="T T T"
Mg 0.0000 0.0000 0.0000
Zn 3.8296 3.6777 2.6005
Zn 6.3699 3.6777 2.6005
Cr 2.5499 1.4722 1.0410
Zn 5.0998 1.4777 2.6005
Zn 5.0998 2.9444 0.5264
```

Results
Electronic total energy = -2.71 eV/atom
N(E_F) = 1.3 states/eV/f.u.
Total moment = 0.66 μB/atom

Computed, not measured: a geometry-optimized MgZn2Cr structure at the PBE level of DFT.

```
4
Lattice="3.1653 0.0000 0.0000 0.0000 3.1920 0.0006 0.0000 3.1918 6.3023" Properties=species:S:1:pos:R:3 pbc="T T T"
Zn 0.0000 3.1922 0.1670
Mg 1.5827 4.7879 4.7272
Cr 1.5827 1.5960 1.5757
Zn 0.0000 3.1918 2.9851
```

Results
Electronic total energy = -3.33 eV/atom
N(E_F) = 1.9 states/eV/f.u.
Total moment = 0.78 μB/atom

Computed, not measured: a geometry-optimized MgZnCr2 structure at the PBE level of DFT.

```
4
Lattice="-1.9949 0.9508 -1.2350 -0.9655 -2.2319 0.7039 -2.8566 3.5538 7.3500" Properties=species:S:1:pos:R:3 pbc="T T T"
Cr -2.8230 3.5120 7.2636
Zn -3.6227 2.0248 5.2469
Cr -1.4619 1.8186 3.7613
Mg -2.1944 0.2479 1.5719
```

Results
Electronic total energy = -5.11 eV/atom
N(E_F) = 2.9 states/eV/f.u.
Total moment = 0.00 μB/atom

Computed, not measured: a geometry-optimized Mg2ZnCr structure at the PBE level of DFT.

```
4
Lattice="-6.9370 -5.3885 3.8093 -5.2983 -5.0999 6.1309 -7.2187 -3.0884 5.4792" Properties=species:S:1:pos:R:3 pbc="T T T"
Mg -9.6440 -6.7304 7.6439
Mg -0.0830 -0.0579 0.0658
Zn -4.8635 -3.3942 3.8548
Cr -14.5905 -10.1826 11.5645
```

Results
Electronic total energy = -3.12 eV/atom
N(E_F) = 3.4 states/eV/f.u.
Total moment = 0.03 μB/atom

Computed, not measured: a geometry-optimized MgZnCr2 structure at the PBE level of DFT.

```
4
Lattice="-2.2773 -0.7921 1.8396 1.7349 -2.1719 1.2126 2.1492 4.2159 4.4759" Properties=species:S:1:pos:R:3 pbc="T T T"
Mg 1.0631 2.0854 2.2140
Cr 0.0683 0.1341 0.1423
Cr 0.1476 -0.6605 2.3982
Zn 1.4024 1.8009 5.0114
```

Results
Electronic total energy = -5.39 eV/atom
N(E_F) = 1.9 states/eV/f.u.
Total moment = 0.06 μB/atom

Computed, not measured: a geometry-optimized MgZnCr2 structure at the PBE level of DFT.

```
4
Lattice="5.1276 0.0073 0.0262 -2.2151 4.5336 -0.0146 0.6974 0.6524 2.3426" Properties=species:S:1:pos:R:3 pbc="T T T"
Cr 0.0000 0.0000 0.0000
Mg -0.7588 2.5930 1.1640
Zn 1.4562 2.2705 0.0058
Cr 2.9125 0.3299 1.1844
```

Results
Electronic total energy = -5.11 eV/atom
N(E_F) = 2.8 states/eV/f.u.
Total moment = 0.00 μB/atom